i:
VASP calculation (PBE) on a relaxed structure of PmEuGa.

Cell and atoms, written as POSCAR:
```
PmEuGa
1.0
-1.081 -3.145 1.732
2.566 0.589 2.670
-5.057 4.637 1.204
Ga Eu Pm
1 1 1
Direct
0.610 0.610 0.220 Ga
0.256 0.256 0.513 Eu
0.984 0.984 0.968 Pm
```

Results
space group = I4mm, No. 107
size of the total moment = 7.3 μB per cell

ii:
VASP calculation (PBE) on a relaxed structure of PmEuGa.

Cell and atoms, written as POSCAR:
```
PmEuGa
1.0
-0.774 -2.953 -4.173
-3.218 -4.039 0.252
-4.540 0.154 -2.469
Eu Pm Ga
1 1 1
Direct
0.500 0.500 0.500 Eu
0.000 0.000 0.000 Pm
0.250 0.250 0.250 Ga
```

Results
space group = F-43m, No. 216
size of the total moment = 7.4 μB per cell

i takes first place; second place is 12.0 kJ/mol of atoms up.

i:
VASP calculation (PBE) on a relaxed structure of PrEuGa.

Cell and atoms, written as POSCAR:
```
PrEuGa
1.0
3.778 0.000 0.000
0.000 3.778 0.000
-1.889 -1.889 6.490
Ga Pr Eu
1 1 1
Direct
0.329 0.329 0.659 Ga
0.699 0.699 0.398 Pr
0.972 0.972 0.943 Eu
```

Results
space group = I4mm, No. 107
size of the total moment = 7.3 μB per cell

ii:
VASP calculation (PBE) on a relaxed structure of PrEuGa.

Cell and atoms, written as POSCAR:
```
PrEuGa
1.0
5.209 0.000 0.000
2.605 4.511 0.000
2.605 1.504 4.253
Pr Ga Eu
1 1 1
Direct
0.500 0.500 0.500 Pr
0.250 0.250 0.250 Ga
0.000 0.000 0.000 Eu
```

Results
space group = F-43m, No. 216
size of the total moment = 7.3 μB per cell

i takes first place; second place is 10.9 kJ/mol of atoms up.

i:
VASP calculation (PBE) on a relaxed structure of EuPuGa2.

Cell and atoms, written as POSCAR:
```
EuPuGa2
1.0
3.314 0.000 0.000
1.657 2.870 0.000
1.657 0.957 11.215
Ga Pu Eu
2 1 1
Direct
0.589 0.589 0.233 Ga
0.411 0.411 0.767 Ga
0.500 0.500 0.500 Pu
0.000 0.000 0.000 Eu
```

Results
space group = R-3m, No. 166
size of the total moment = 0.9 μB per cell

ii:
VASP calculation (PBE) on a relaxed structure of EuPuGa2.

Cell and atoms, written as POSCAR:
```
EuPuGa2
1.0
-3.447 1.119 0.145
-0.539 -2.043 2.947
2.044 5.736 4.350
Ga Pu Eu
2 1 1
Direct
0.000 0.000 0.234 Ga
0.000 0.000 0.766 Ga
0.500 0.500 0.000 Pu
0.500 0.500 0.500 Eu
```

Results
space group = P4/mmm, No. 123
size of the total moment = 1.5 μB per cell

ii takes first place; second place is 51.3 kJ/mol of atoms up.

i:
VASP calculation (PBE) on a relaxed structure of EuPu2Ga.

Cell and atoms, written as POSCAR:
```
EuPu2Ga
1.0
-0.948 -4.955 -1.538
3.040 -3.935 1.759
-1.944 -3.501 3.434
Ga Pu Eu
1 2 1
Direct
0.000 0.000 0.000 Ga
0.750 0.750 0.750 Pu
0.250 0.250 0.250 Pu
0.500 0.500 0.500 Eu
```

Results
space group = Fm-3m, No. 225
size of the total moment = 19.9 μB per cell

ii:
VASP calculation (PBE) on a relaxed structure of EuPu2Ga.

Cell and atoms, written as POSCAR:
```
EuPu2Ga
1.0
3.695 0.000 0.000
0.000 3.695 0.000
0.000 0.000 8.365
Eu Pu Ga
1 2 1
Direct
0.500 0.500 0.500 Eu
0.000 0.000 0.189 Pu
0.000 0.000 0.811 Pu
0.500 0.500 0.000 Ga
```

Results
space group = P4/mmm, No. 123
size of the total moment = 19.5 μB per cell

ii takes first place; second place is 7.0 kJ/mol of atoms up.

i:
VASP calculation (PBE) on a relaxed structure of EuPuGa.

Cell and atoms, written as POSCAR:
```
EuPuGa
1.0
-2.288 -1.303 2.531
0.230 -3.321 -1.501
5.918 0.967 3.211
Pu Ga Eu
1 1 1
Direct
0.303 0.303 0.606 Pu
0.673 0.673 0.346 Ga
0.024 0.024 0.048 Eu
```

Results
space group = I4mm, No. 107
size of the total moment = 1.0 μB per cell

ii:
VASP calculation (PBE) on a relaxed structure of EuPuGa.

Cell and atoms, written as POSCAR:
```
EuPuGa
1.0
3.237 0.000 0.000
0.000 5.198 0.000
0.000 -2.599 4.501
Eu Ga Pu
1 1 1
Direct
0.680 0.333 0.667 Eu
0.025 0.000 0.000 Ga
0.295 0.667 0.333 Pu
```

Results
space group = P3m1, No. 156
size of the total moment = 1.4 μB per cell

i takes first place; second place is 9.9 kJ/mol of atoms up.

i:
VASP calculation (PBE) on a relaxed structure of EuGaSb2.

Cell and atoms, written as POSCAR:
```
EuGaSb2
1.0
-3.052 -3.445 1.056
1.414 0.125 4.497
-3.309 3.223 0.951
Eu Ga Sb
1 1 2
Direct
0.500 0.000 0.000 Eu
0.500 0.500 0.500 Ga
0.000 0.500 0.000 Sb
0.000 0.000 0.500 Sb
```

Results
space group = P4/mmm, No. 123
size of the total moment = 6.9 μB per cell

ii:
VASP calculation (PBE) on a relaxed structure of EuGaSb2.

Cell and atoms, written as POSCAR:
```
EuGaSb2
1.0
-2.186 -3.066 0.047
1.318 -3.230 1.416
-3.733 0.498 9.614
Sb Eu Ga
2 1 1
Direct
0.106 0.106 0.681 Sb
0.894 0.894 0.319 Sb
0.000 0.000 0.000 Eu
0.500 0.500 0.500 Ga
```

Results
space group = R-3m, No. 166
size of the total moment = 7.7 μB per cell

i takes first place; second place is 53.5 kJ/mol of atoms up.

i:
VASP calculation (PBE) on a relaxed structure of EuGaSb.

Cell and atoms, written as POSCAR:
```
EuGaSb
1.0
4.778 0.000 0.000
0.000 4.506 0.000
0.000 -2.253 3.902
Ga Eu Sb
1 1 1
Direct
0.037 0.000 0.000 Ga
0.695 0.667 0.333 Eu
0.268 0.333 0.667 Sb
```

Results
space group = P3m1, No. 156
size of the total moment = 7.0 μB per cell

ii:
VASP calculation (PBE) on a relaxed structure of EuGaSb.

Cell and atoms, written as POSCAR:
```
EuGaSb
1.0
3.832 0.000 0.000
0.000 3.832 0.000
-1.916 -1.916 5.468
Sb Ga Eu
1 1 1
Direct
0.922 0.922 0.845 Sb
0.309 0.309 0.619 Ga
0.618 0.618 0.237 Eu
```

Results
space group = I4mm, No. 107
size of the total moment = 7.1 μB per cell

i takes first place; second place is 14.9 kJ/mol of atoms up.

i:
VASP calculation (PBE) on a relaxed structure of EuSc2Ga.

Cell and atoms, written as POSCAR:
```
EuSc2Ga
1.0
-3.990 -2.957 -1.121
-0.879 -1.367 -4.824
0.735 -4.824 -1.453
Ga Sc Eu
1 2 1
Direct
0.500 0.500 0.500 Ga
0.750 0.750 0.750 Sc
0.250 0.250 0.250 Sc
0.000 0.000 0.000 Eu
```

Results
space group = Fm-3m, No. 225
size of the total moment = 9.0 μB per cell

ii:
VASP calculation (PBE) on a relaxed structure of EuSc2Ga.

Cell and atoms, written as POSCAR:
```
EuSc2Ga
1.0
3.347 0.000 0.000
0.000 3.347 0.000
0.000 0.000 8.890
Eu Ga Sc
1 1 2
Direct
0.500 0.500 0.500 Eu
0.500 0.500 0.000 Ga
0.000 0.000 0.192 Sc
0.000 0.000 0.808 Sc
```

Results
space group = P4/mmm, No. 123
size of the total moment = 7.3 μB per cell

ii takes first place; second place is 15.5 kJ/mol of atoms up.

i:
VASP calculation (PBE) on a relaxed structure of SmEu2Ga.

Cell and atoms, written as POSCAR:
```
SmEu2Ga
1.0
3.644 0.000 0.000
1.822 3.156 0.000
1.822 1.052 12.399
Eu Ga Sm
2 1 1
Direct
0.916 0.916 0.252 Eu
0.084 0.084 0.748 Eu
0.000 0.000 0.000 Ga
0.500 0.500 0.500 Sm
```

Results
space group = R-3m, No. 166
size of the total moment = 15.5 μB per cell

ii:
VASP calculation (PBE) on a relaxed structure of SmEu2Ga.

Cell and atoms, written as POSCAR:
```
SmEu2Ga
1.0
-5.081 -0.337 -0.673
0.254 -4.777 0.472
-0.657 0.433 4.742
Eu Ga Sm
2 1 1
Direct
0.000 0.500 0.000 Eu
0.000 0.000 0.500 Eu
0.500 0.000 0.000 Ga
0.500 0.500 0.500 Sm
```

Results
space group = P4/mmm, No. 123
size of the total moment = 14.4 μB per cell

ii takes first place; second place is 34.6 kJ/mol of atoms up.

i:
VASP calculation (PBE) on a relaxed structure of EuGa2Sn.

Cell and atoms, written as POSCAR:
```
EuGa2Sn
1.0
4.470 0.000 0.000
0.000 4.548 0.000
0.000 0.000 4.548
Ga Sn Eu
2 1 1
Direct
0.000 0.000 0.500 Ga
0.000 0.500 0.000 Ga
0.500 0.000 0.000 Sn
0.500 0.500 0.500 Eu
```

Results
space group = P4/mmm, No. 123
size of the total moment = 6.9 μB per cell

ii:
VASP calculation (PBE) on a relaxed structure of EuGa2Sn.

Cell and atoms, written as POSCAR:
```
EuGa2Sn
1.0
4.629 0.000 0.000
2.314 4.009 0.000
2.314 1.336 5.420
Ga Sn Eu
2 1 1
Direct
0.233 0.233 0.301 Ga
0.767 0.767 0.699 Ga
0.500 0.500 0.500 Sn
0.000 0.000 0.000 Eu
```

Results
space group = R-3m, No. 166
size of the total moment = 7.1 μB per cell

i takes first place; second place is 7.5 kJ/mol of atoms up.

i:
VASP calculation (PBE) on a relaxed structure of TbEuGa.

Cell and atoms, written as POSCAR:
```
TbEuGa
1.0
5.114 0.000 0.000
2.557 4.429 0.000
2.557 1.476 4.175
Eu Tb Ga
1 1 1
Direct
0.500 0.500 0.500 Eu
0.000 0.000 0.000 Tb
0.250 0.250 0.250 Ga
```

Results
space group = F-43m, No. 216
size of the total moment = 7.3 μB per cell

ii:
VASP calculation (PBE) on a relaxed structure of TbEuGa.

Cell and atoms, written as POSCAR:
```
TbEuGa
1.0
3.701 0.000 0.000
0.000 3.701 0.000
-1.851 -1.851 6.392
Tb Eu Ga
1 1 1
Direct
0.248 0.248 0.496 Tb
0.974 0.974 0.949 Eu
0.628 0.628 0.255 Ga
```

Results
space group = I4mm, No. 107
size of the total moment = 7.3 μB per cell

iii:
VASP calculation (PBE) on a relaxed structure of TbEuGa.

Cell and atoms, written as POSCAR:
```
TbEuGa
1.0
3.777 0.000 0.000
0.000 5.083 0.000
0.000 -2.542 4.402
Eu Tb Ga
1 1 1
Direct
0.973 0.000 0.000 Eu
0.416 0.333 0.667 Tb
0.611 0.667 0.333 Ga
```

Results
space group = P3m1, No. 156
size of the total moment = 7.1 μB per cell

ii takes first place; second place is 9.9 kJ/mol of atoms up.

i:
VASP calculation (PBE) on a relaxed structure of EuThGa.

Cell and atoms, written as POSCAR:
```
EuThGa
1.0
-0.029 -3.015 -1.898
3.428 -0.540 0.805
-3.593 -1.778 6.222
Eu Th Ga
1 1 1
Direct
0.023 0.023 0.046 Eu
0.308 0.308 0.616 Th
0.669 0.669 0.338 Ga
```

Results
space group = I4mm, No. 107
size of the total moment = 7.4 μB per cell

ii:
VASP calculation (PBE) on a relaxed structure of EuThGa.

Cell and atoms, written as POSCAR:
```
EuThGa
1.0
-2.409 -2.559 -1.235
2.653 -0.410 -4.327
1.130 -2.981 3.971
Eu Ga Th
1 1 1
Direct
0.966 0.000 0.000 Eu
0.654 0.667 0.333 Ga
0.381 0.333 0.667 Th
```

Results
space group = P3m1, No. 156
size of the total moment = 7.2 μB per cell

i takes first place; second place is 11.4 kJ/mol of atoms up.

i:
VASP calculation (PBE) on a relaxed structure of EuTiGa2.

Cell and atoms, written as POSCAR:
```
EuTiGa2
1.0
3.472 0.000 0.000
0.000 3.472 0.000
0.000 0.000 6.830
Ga Eu Ti
2 1 1
Direct
0.000 0.000 0.804 Ga
0.000 0.000 0.196 Ga
0.500 0.500 0.500 Eu
0.500 0.500 0.000 Ti
```

Results
space group = P4/mmm, No. 123
size of the total moment = 8.1 μB per cell

ii:
VASP calculation (PBE) on a relaxed structure of EuTiGa2.

Cell and atoms, written as POSCAR:
```
EuTiGa2
1.0
3.364 0.000 0.000
1.682 2.913 0.000
1.682 0.971 8.811
Eu Ti Ga
1 1 2
Direct
0.500 0.500 0.500 Eu
0.000 0.000 0.000 Ti
0.740 0.740 0.781 Ga
0.260 0.260 0.219 Ga
```

Results
space group = R-3m, No. 166
size of the total moment = 7.0 μB per cell

i takes first place; second place is 23.8 kJ/mol of atoms up.

i:
VASP calculation (PBE) on a relaxed structure of EuTl2Ga.

Cell and atoms, written as POSCAR:
```
EuTl2Ga
1.0
3.827 0.000 0.000
0.000 3.827 0.000
0.000 0.000 7.538
Tl Eu Ga
2 1 1
Direct
0.000 0.000 0.782 Tl
0.000 0.000 0.218 Tl
0.500 0.500 0.500 Eu
0.500 0.500 0.000 Ga
```

Results
space group = P4/mmm, No. 123
size of the total moment = 7.2 μB per cell

ii:
VASP calculation (PBE) on a relaxed structure of EuTl2Ga.

Cell and atoms, written as POSCAR:
```
EuTl2Ga
1.0
3.563 0.000 0.000
1.781 3.086 0.000
1.781 1.029 11.275
Tl Ga Eu
2 1 1
Direct
0.904 0.904 0.289 Tl
0.096 0.096 0.711 Tl
0.500 0.500 0.500 Ga
0.000 0.000 0.000 Eu
```

Results
space group = R-3m, No. 166
size of the total moment = 7.9 μB per cell

iii:
VASP calculation (PBE) on a relaxed structure of EuTl2Ga.

Cell and atoms, written as POSCAR:
```
EuTl2Ga
1.0
-1.244 0.453 -4.619
-2.563 -3.949 0.303
-3.768 2.542 1.264
Ga Tl Eu
1 2 1
Direct
0.500 0.000 0.000 Ga
0.000 0.000 0.500 Tl
0.000 0.500 0.000 Tl
0.500 0.500 0.500 Eu
```

Results
space group = P4/mmm, No. 123
size of the total moment = 7.1 μB per cell

iii takes first place; second place is 6.6 kJ/mol of atoms up.

i:
VASP calculation (PBE) on a relaxed structure of EuTm2Ga.

Cell and atoms, written as POSCAR:
```
EuTm2Ga
1.0
-3.847 2.221 1.359
0.764 -1.435 4.510
2.577 3.959 0.824
Ga Tm Eu
1 2 1
Direct
0.500 0.500 0.500 Ga
0.000 0.500 0.000 Tm
0.000 0.000 0.500 Tm
0.500 0.000 0.000 Eu
```

Results
space group = P4/mmm, No. 123
size of the total moment = 7.6 μB per cell

ii:
VASP calculation (PBE) on a relaxed structure of EuTm2Ga.

Cell and atoms, written as POSCAR:
```
EuTm2Ga
1.0
-2.397 1.143 -2.301
-1.669 -3.085 0.206
-5.129 3.237 6.951
Eu Tm Ga
1 2 1
Direct
0.500 0.500 0.500 Eu
0.000 0.000 0.193 Tm
0.000 0.000 0.807 Tm
0.500 0.500 0.000 Ga
```

Results
space group = P4/mmm, No. 123
size of the total moment = 7.3 μB per cell

ii takes first place; second place is 7.9 kJ/mol of atoms up.